NpPN after structural relaxation, computed with PBE.

Cell: 3.6921 3.6921 3.9319 Å, 90.00 90.00 120.00°
Space group P-6m2 (No. 187)
One atom of each set of equivalent atoms:
Np  0.0000  0.0000  0.0000 (multiplicity 1)
P  0.3333  0.6667  0.5000 (multiplicity 1)
N  0.6667  0.3333  0.0000 (multiplicity 1)

Properties
V	15.5	A^3/atom
size of the total moment	1.1	Bohr magnetons per cell
energy relative to the elements, uncorrected	-0.595	eV/atom
N(E_F)	3.8	states/eV/cell